# 1
Fe2NiCl6 (PBE, optimized geometry); DOS(E_F) = 15.4 states/eV/cell; formation energy from raw total energies = -535.0 kJ/mol of formula units; total magnetic moment = 20.000 μB/cell
1.0
6.4275 -0.4928 -0.4340
-0.4769 8.1141 0.8215
-0.6113 -0.0903 8.1462
Fe Ni Cl
4 2 12
Direct
0.1890 0.3937 0.2102
0.3110 0.7898 0.6063
0.8110 0.6063 0.7898
0.6890 0.2102 0.3937
0.2500 0.9027 0.0973
0.7500 0.0973 0.9027
0.3817 0.2927 0.4474
0.1183 0.5526 0.7073
0.6183 0.7073 0.5526
0.8817 0.4474 0.2927
0.8589 0.1182 0.6348
0.6411 0.3652 0.8818
0.1411 0.8818 0.3652
0.3589 0.6348 0.1182
0.1099 0.1851 0.0352
0.3901 0.9648 0.8149
0.8901 0.8149 0.9648
0.6099 0.0352 0.1851

# 2
Re2Pt (PBE, optimized geometry); ΔH_f (0 K) = -0.0871 eV/atom; DOS(E_F) = 7.5 states/eV/cell; total magnetic moment = 0.000 μB/cell; energy relative to the lowest polymorph listed for this composition = 0 meV/atom
1.0
-1.6178 3.5865 3.8385
0.1016 -2.8623 2.7172
8.0103 1.8492 1.6483
Re Pt
8 4
Direct
0.1144 0.2500 0.2676
0.1160 0.2500 0.5808
0.3840 0.7500 0.0808
0.3856 0.7500 0.7676
0.6144 0.2500 0.2324
0.6160 0.2500 0.9192
0.8840 0.7500 0.4192
0.8856 0.7500 0.7324
0.1199 0.2500 0.9107
0.3801 0.7500 0.4107
0.6199 0.2500 0.5893
0.8801 0.7500 0.0893